# CaCu3F8 PBE optimized geometry
# energy = -4.378 eV per atom
# space group = P-3 (147)
# magnetic moment = 3.03 μB/cell
data_CaCu3F8
_chemical_formula_sum 'Ca1 Cu3 F8'
_symmetry_space_group_name_H-M 'P 1'
_symmetry_Int_Tables_number 1
_cell_length_a 5.918
_cell_length_b 5.918
_cell_length_c 6.222
_cell_angle_alpha 90.00
_cell_angle_beta 90.00
_cell_angle_gamma 120.00
loop_
_symmetry_equiv_pos_as_xyz
'x,y,z'
loop_
_atom_site_label
_atom_site_fract_x
_atom_site_fract_y
_atom_site_fract_z
Ca1 0.000 0.000 0.000
Cu1 0.000 0.000 0.500
Cu2 0.333 0.667 0.780
Cu3 0.667 0.333 0.220
F1 0.146 0.296 0.713
F2 0.150 0.854 0.713
F3 0.296 0.150 0.287
F4 0.333 0.667 0.076
F5 0.667 0.333 0.924
F6 0.704 0.850 0.713
F7 0.850 0.146 0.287
F8 0.854 0.704 0.287